Entry 1:
The following is a DFT calculation (PBE) of a geometry-optimized Ge3TeSe2 structure.

The space group is P2_1/m (No. 11) and the conventional cell measures 7.019, 4.004 and 11.312 Å, with angles of 90.00, 101.08 and 90.00 degrees. The distinct sites, in fractional coordinates, are Ge at (0.098, 0.250, 0.165), Ge at (0.254, 0.250, 0.521), Ge at (0.339, 0.250, 0.855), Te at (0.474, 0.750, 0.656), Se at (0.002, 0.750, 0.298) and Se at (0.243, 0.750, 0.989).

The value obtained for the calculated volume is 25.998 A^3/atom. Its raw formation energy is -0.14 eV/atom. The value obtained for the density is 5359 kg/m³.

Entry 2:
The following is a DFT calculation (PBE) of a geometry-optimized Ge2TeSe2 structure.

The space group is I4/mmm (No. 139) and the conventional cell measures 5.402, 5.402 and 8.873 Å, with angles of 90.00, 90.00 and 90.00 degrees. The distinct sites, in fractional coordinates, are Ge at (0.000, 0.500, 0.250), Te at (0.000, 0.000, 0.000) and Se at (0.000, 0.000, 0.322).

The value obtained for the calculated volume is 25.894 A^3/atom. Its raw formation energy is 0.04 eV/atom. The value obtained for the density is 5525 kg/m³.

Entry 3:
The following is a DFT calculation (PBE) of a geometry-optimized Ge3Te2Se structure.

The space group is P-3m1 (No. 164) and the conventional cell measures 4.1695, 4.1695 and 10.1809 Å, with angles of 90.00, 90.00 and 120.00 degrees. The distinct sites, in fractional coordinates, are Ge at (0.0000, 0.0000, 0.0000), Ge at (0.3333, 0.6667, 0.6526), Te at (0.3333, 0.6667, 0.1737) and Se at (0.0000, 0.0000, 0.5000).

The value obtained for the calculated volume is 25.547 A^3/atom. Its raw formation energy is -0.11 eV/atom. The value obtained for the density is 5981 kg/m³.

Entry 4:
The following is a DFT calculation (PBE) of a geometry-optimized Ge3Te2Se2 structure.

The space group is P2_1/c (No. 14) and the conventional cell measures 7.546, 6.969 and 7.913 Å, with angles of 90.00, 118.11 and 90.00 degrees. The distinct sites, in fractional coordinates, are Ge at (0.000, 0.000, 0.000), Ge at (0.268, 0.046, 0.731), Te at (0.140, 0.669, 0.876) and Se at (0.369, 0.155, 0.101).

The value obtained for the calculated volume is 26.219 A^3/atom. Its raw formation energy is -0.07 eV/atom. The value obtained for the density is 5710 kg/m³.

Entry 5:
The following is a DFT calculation (PBE) of a geometry-optimized Ge3Te2Se structure.

The space group is C2/m (No. 12) and the conventional cell measures 7.217, 12.515 and 7.214 Å, with angles of 90.00, 109.55 and 90.00 degrees. The distinct sites, in fractional coordinates, are Ge at (0.237, 0.000, 0.238), Ge at (0.249, 0.172, 0.760), Te at (0.000, 0.000, 0.500), Te at (0.000, 0.337, 0.500), Te at (0.000, 0.500, 0.000) and Se at (0.000, 0.167, 0.000).

The value obtained for the calculated volume is 25.581 A^3/atom. Its raw formation energy is -0.11 eV/atom. The value obtained for the density is 5973 kg/m³.

Entry 6:
The following is a DFT calculation (PBE) of a geometry-optimized GeTeSe3 structure.

The space group is Pm-3m (No. 221) and the conventional cell measures 5.317, 5.317 and 5.317 Å, with angles of 90.00, 90.00 and 90.00 degrees. The distinct sites, in fractional coordinates, are Ge at (0.000, 0.000, 0.000), Te at (0.500, 0.500, 0.500) and Se at (0.000, 0.500, 0.500).

The value obtained for the calculated volume is 30.065 A^3/atom. Its raw formation energy is 0.58 eV/atom. The value obtained for the density is 4829 kg/m³.

Entry 7:
The following is a DFT calculation (PBE) of a geometry-optimized GeTe2Se structure.

The space group is R-3m (No. 166, hexagonal axes) and the conventional cell measures 3.2834, 3.2834 and 32.3119 Å, with angles of 90.00, 90.00 and 120.00 degrees. The distinct sites, in fractional coordinates, are Ge at (0.0000, 0.0000, 0.0000), Te at (0.0000, 0.0000, 0.0896) and Se at (0.0000, 0.0000, 0.5000).

The value obtained for the calculated volume is 25.139 A^3/atom. Its raw formation energy is 0.44 eV/atom. The value obtained for the density is 6718 kg/m³.

Entry 8:
The following is a DFT calculation (PBE) of a geometry-optimized GeTeSe2 structure.

The space group is P1 (No. 1) and the conventional cell measures 6.066, 8.296 and 8.332 Å, with angles of 82.37, 68.66 and 68.63 degrees. The distinct sites, in fractional coordinates, are Ge at (0.000, 0.000, 0.000), Ge at (0.500, 0.000, 0.000), Te at (0.213, 0.500, 0.501), Te at (0.778, 0.500, 0.501), Se at (0.131, 0.000, 0.237), Se at (0.368, 0.000, 0.763), Se at (0.631, 0.238, 0.000) and Se at (0.868, 0.762, 0.000).

The value obtained for the calculated volume is 45.464 A^3/atom. Its raw formation energy is -0.01 eV/atom. The value obtained for the density is 3270 kg/m³.

Entry 9:
The following is a DFT calculation (PBE) of a geometry-optimized Ge2TeSe2 structure.

The space group is P4/mbm (No. 127) and the conventional cell measures 8.506, 8.506 and 3.614 Å, with angles of 90.00, 90.00 and 90.00 degrees. The distinct sites, in fractional coordinates, are Ge at (0.235, 0.265, 0.000), Te at (0.000, 0.000, 0.000) and Se at (0.123, 0.623, 0.500).

The value obtained for the calculated volume is 26.144 A^3/atom. Its raw formation energy is 0.02 eV/atom. The value obtained for the density is 5472 kg/m³.

Entry 10:
The following is a DFT calculation (PBE) of a geometry-optimized Ge4Te3Se structure.

The space group is P2/c (No. 13) and the conventional cell measures 7.259, 8.571 and 7.277 Å, with angles of 90.00, 109.73 and 90.00 degrees. The distinct sites, in fractional coordinates, are Ge at (0.233, 0.157, 0.484), Ge at (0.252, 0.354, 0.009), Te at (0.000, 0.123, 0.750), Te at (0.500, 0.126, 0.250), Te at (0.500, 0.378, 0.750) and Se at (0.000, 0.365, 0.250).

The value obtained for the calculated volume is 26.637 A^3/atom. Its raw formation energy is -0.11 eV/atom. The value obtained for the density is 5862 kg/m³.

Entry 11:
The following is a DFT calculation (PBE) of a geometry-optimized Th4Ge2TeSe structure.

The space group is I4/mmm (No. 139) and the conventional cell measures 6.125, 6.125 and 12.210 Å, with angles of 90.00, 90.00 and 90.00 degrees. The distinct sites, in fractional coordinates, are Th at (0.000, 0.000, 0.242), Th at (0.000, 0.500, 0.000), Ge at (0.000, 0.500, 0.250), Te at (0.000, 0.000, 0.500) and Se at (0.000, 0.000, 0.000).

The value obtained for the calculated volume is 28.631 A^3/atom. Its raw formation energy is -1.06 eV/atom. The value obtained for the density is 9280 kg/m³.

Entry 12:
The following is a DFT calculation (PBE) of a geometry-optimized Th8Ge3Te4Se structure.

The space group is R-3m (No. 166, hexagonal axes) and the conventional cell measures 8.6644, 8.6644 and 22.0051 Å, with angles of 90.00, 90.00 and 120.00 degrees. The distinct sites, in fractional coordinates, are Th at (0.0000, 0.0000, 0.2392), Th at (0.0016, 0.5008, 0.7603), Ge at (0.0000, 0.5000, 0.5000), Te at (0.0000, 0.0000, 0.0000), Te at (0.0000, 0.5000, 0.0000) and Se at (0.0000, 0.0000, 0.5000).

The value obtained for the calculated volume is 29.805 A^3/atom. Its raw formation energy is -1.09 eV/atom. The value obtained for the density is 9275 kg/m³.